The following is a PBE-GGA calculation of HfBPO2 after structural relaxation, from Alexandria via LeMat-Bulk.

Formation energy from raw total energies (eV per atom): -0.539
Offset from the most stable computed form (eV/atom): 0.085
Symmetry: P4/mmm

Cell: 3.9214 3.9214 5.6146 Å, 90.00 90.00 90.00°
Sites, in units of the cell vectors:
Hf1 0.0000 0.0000 0.0000
B1 0.5000 0.5000 0.5000
P1 0.0000 0.0000 0.5000
O1 0.0000 0.5000 0.0000
O2 0.5000 0.0000 0.0000

=====

The following is a PBE-GGA calculation of KZr2Tl2 after structural relaxation, from Alexandria via LeMat-Bulk.

Formation energy from the elements (kJ/mol of formula units): 53
Offset from the most stable computed form (eV/atom): 0.000
Symmetry: P4/mbm

Cell: 9.2191 9.2191 3.1497 Å, 90.00 90.00 90.00°
Sites, in units of the cell vectors:
K1 0.0000 0.0000 0.0000
K2 0.5000 0.5000 0.0000
Zr1 0.1189 0.3811 0.0000
Zr2 0.3811 0.8811 0.0000
Zr3 0.6189 0.1189 0.0000
Zr4 0.8811 0.6189 0.0000
Tl1 0.1764 0.6764 0.5000
Tl2 0.3236 0.1764 0.5000
Tl3 0.6764 0.8236 0.5000
Tl4 0.8236 0.3236 0.5000

=====

The following is a PBE-GGA calculation of Co2AgPt after structural relaxation, from Alexandria via LeMat-Bulk.

Formation energy from the elements (kJ/mol of formula units): 91
Symmetry: P4/mmm

Cell: 3.8574 3.8574 3.7624 Å, 90.00 90.00 90.00°
Sites, in units of the cell vectors:
Co1 0.0000 0.5000 0.0000
Co2 0.5000 0.0000 0.0000
Ag1 0.0000 0.0000 0.5000
Pt1 0.5000 0.5000 0.5000

=====

Number 1: total magnetic moment 0.000 μB per atom, uncorrected energy -6.930 eV per atom. Number 2: total magnetic moment 0.000 μB per atom, uncorrected energy -4.474 eV per atom. Number 3: total magnetic moment 1.041 μB per atom, uncorrected energy -5.539 eV per atom.